Entry 1:
This record from the Alexandria database describes a geometry-optimized PmTm3Al structure. The functional is PBE.

Density of states at the Fermi level   6.0 states/eV/f.u.
Energy relative to the elements   -140.9 meV per atom
SG   C2/m
Energy above the lowest structure with this stoichiometry   0.000 eV/atom
Uncorrected energy   -4.5224 eV/atom
Magnetic moment   0.88 μB/cell

a b c (Å): 3.5694 6.6769 12.3922
angles (deg): 85.50 90.00 74.50
Closest atoms and distances in Å follow each position.
Positions (direct):
1 Pm 0.2262 0.5474 0.7477  2 Al 3.23, 4 Tm 3.44-3.62, 2 Pm 3.57
2 Pm 0.7738 0.4526 0.2523  2 Al 3.23, 4 Tm 3.44-3.62, 2 Pm 3.57
3 Tm 0.1409 0.7181 0.4518  4 Al 3.07, 1 Tm 3.39
4 Tm 0.3657 0.2693 0.0169  9 Tm 3.43-3.57, 3 Pm 3.65-3.69
5 Tm 0.0305 0.9384 0.1941  2 Al 3.14, 5 Tm 3.39-3.52, 1 Pm 3.44
6 Tm 0.8591 0.2819 0.5482  4 Al 3.07, 1 Tm 3.39
7 Tm 0.9695 0.0616 0.8059  2 Al 3.14, 5 Tm 3.39-3.52, 1 Pm 3.44
8 Tm 0.6343 0.7307 0.9831  9 Tm 3.43-3.57, 3 Pm 3.65-3.69
9 Al 0.5467 0.9068 0.6197  6 Tm 3.07-3.14, 1 Al 3.11, 2 Pm 3.23
10 Al 0.4533 0.0932 0.3803  6 Tm 3.07-3.14, 1 Al 3.11, 2 Pm 3.23

---

Entry 2:
This record from the Alexandria database describes a geometry-optimized ZrAs3Au structure. The functional is PBE.

Density of states at the Fermi level   3.9 states/eV/f.u.
Energy relative to the elements   457.7 meV per atom
SG   Pm-3m
Energy above the lowest structure with this stoichiometry   0.000 eV/atom
Uncorrected energy   -4.6972 eV/atom
Magnetic moment   0.00 μB/cell

a b c (Å): 5.1542 5.1542 5.1542
angles (deg): 90.00 90.00 90.00
Closest atoms and distances in Å follow each position.
Positions (direct):
1 As 0.0000 0.5000 0.0000  2 Zr 2.58
2 As 0.0000 0.0000 0.5000  2 Zr 2.58
3 As 0.5000 0.0000 0.0000  2 Zr 2.58
4 Au 0.5000 0.5000 0.5000  12 As 3.64
5 Zr 0.0000 0.0000 0.0000  6 As 2.58

---

Entry 3:
This record from the Alexandria database describes a geometry-optimized La5Cd2Os2 structure. The functional is PBE.

Density of states at the Fermi level   8.2 states/eV/f.u.
Energy relative to the elements   -204.4 meV per atom
SG   Cmce
Uncorrected energy   -5.6407 eV/atom
Magnetic moment   0.00 μB/cell

a b c (Å): 7.8896 8.0254 9.3019
angles (deg): 90.00 64.91 90.00
Closest atoms and distances in Å follow each position.
Positions (direct):
1 La 0.0000 0.0000 0.0000  4 Os 3.07-3.12
2 La 0.5000 0.5000 0.0000  4 Os 3.07-3.12
3 La 0.4480 0.1661 0.7747  3 Os 2.94-3.08
4 La 0.7773 0.8339 0.7747  3 Os 2.94-3.08
5 La 0.2773 0.6661 0.7747  3 Os 2.94-3.08
6 La 0.9480 0.3339 0.7747  3 Os 2.94-3.08
7 La 0.5520 0.8339 0.2253  3 Os 2.94-3.08
8 La 0.2227 0.1661 0.2253  3 Os 2.94-3.08
9 La 0.7227 0.3339 0.2253  3 Os 2.94-3.08
10 La 0.0520 0.6661 0.2253  3 Os 2.94-3.08
11 Cd 0.2168 0.0000 0.5663  7 La 3.42-3.65
12 Cd 0.7168 0.5000 0.5663  7 La 3.42-3.65
13 Cd 0.7832 0.0000 0.4337  7 La 3.42-3.65
14 Cd 0.2832 0.5000 0.4337  7 La 3.42-3.65
15 Os 0.1357 0.3651 0.0000  8 La 2.94-3.12, 1 Os 3.05
16 Os 0.8643 0.6349 0.0000  8 La 2.94-3.12, 1 Os 3.05
17 Os 0.3643 0.8651 0.0000  8 La 2.94-3.12, 1 Os 3.05
18 Os 0.6357 0.1349 0.0000  8 La 2.94-3.12, 1 Os 3.05

---

Entry 4:
This record from the Alexandria database describes a geometry-optimized Sr2CuTeN structure. The functional is PBE.

E_form (uncorrected)   -850 meV/atom
Density of states at the Fermi level   0.7 states/eV/f.u.
SG   P4/mmm
Energy above the lowest structure with this stoichiometry   0.000 eV/atom
Uncorrected energy   -4.6351 eV/atom
Magnetic moment   0.00 μB/cell

a b c (Å): 5.4598 5.4598 3.9073
angles (deg): 90.00 90.00 90.00
Closest atoms and distances in Å follow each position.
Positions (direct):
1 Sr 0.0000 0.5000 0.0000  2 N 2.73
2 Sr 0.5000 0.0000 0.0000  2 N 2.73
3 Te 0.5000 0.5000 0.5000  8 Sr 3.36
4 Cu 0.0000 0.0000 0.5000  2 N 1.95
5 N 0.0000 0.0000 0.0000  2 Cu 1.95

---

Entry 5:
This record from the Alexandria database describes a geometry-optimized YHoInAu structure. The functional is PBE.

Density of states at the Fermi level   2.5 states/eV/f.u.
Energy relative to the elements   -630.1 meV per atom
SG   F-43m
Energy above the lowest structure with this stoichiometry   0.050 eV/atom
Uncorrected energy   -4.8945 eV/atom
Magnetic moment   0.00 μB/cell

a b c (Å): 5.2155 5.2155 5.2155
angles (deg): 60.00 60.00 60.00
Closest atoms and distances in Å follow each position.
Positions (direct):
1 Y 0.7500 0.7500 0.7500  4 In 3.19, 4 Au 3.19
2 Au 0.0000 0.0000 0.0000  4 Ho 3.19, 4 Y 3.19
3 Ho 0.2500 0.2500 0.2500  4 Au 3.19, 4 In 3.19
4 In 0.5000 0.5000 0.5000  4 Ho 3.19, 4 Y 3.19

---

Entry 6:
This record from the Alexandria database describes a geometry-optimized ErHfMn4 structure. The functional is PBE.

Density of states at the Fermi level   6.9 states/eV/f.u.
Energy relative to the elements   -58.6 meV per atom
SG   F-43m
Uncorrected energy   -8.5910 eV/atom
Magnetic moment   2.30 μB/cell

a b c (Å): 4.9992 4.9992 4.9992
angles (deg): 60.00 60.00 60.00
Closest atoms and distances in Å follow each position.
Positions (direct):
1 Mn 0.6245 0.6245 0.1264  6 Mn 2.49-2.51
2 Mn 0.6245 0.1264 0.6245  6 Mn 2.49-2.51
3 Mn 0.6245 0.6245 0.6245  6 Mn 2.49-2.51
4 Mn 0.1264 0.6245 0.6245  6 Mn 2.49-2.51
5 Hf 0.2500 0.2500 0.2500  12 Mn 2.93, 4 Er 3.06
6 Er 0.0000 0.0000 0.0000  12 Mn 2.93, 4 Hf 3.06

---

Entry 7:
This record from the Alexandria database describes a geometry-optimized Sc3GeSe6 structure. The functional is PBE.

E_form (uncorrected)   -1221 meV/atom
Density of states at the Fermi level   2.7 states/eV/f.u.
SG   Cmc2_1
Uncorrected energy   -5.6729 eV/atom
Magnetic moment   0.00 μB/cell

a b c (Å): 6.5911 8.5731 8.5731
angles (deg): 102.69 90.00 90.00
Closest atoms and distances in Å follow each position.
Positions (direct):
1 Sc 0.4825 0.9119 0.7182  7 Se 2.69-2.95
2 Sc 0.9825 0.7182 0.9119  7 Se 2.69-2.95
3 Sc 0.3852 0.4075 0.5925  7 Se 2.73-3.00
4 Sc 0.8852 0.5925 0.4075  7 Se 2.73-3.00
5 Sc 0.9825 0.0881 0.2818  7 Se 2.69-2.95
6 Sc 0.4825 0.2818 0.0881  7 Se 2.69-2.95
7 Ge 0.0190 0.2045 0.7955  4 Se 2.49-2.58
8 Ge 0.5190 0.7955 0.2045  4 Se 2.49-2.58
9 Se 0.1819 0.6992 0.6269  4 Sc 2.69-2.80
10 Se 0.6819 0.6269 0.6992  4 Sc 2.69-2.80
11 Se 0.2211 0.4507 0.8998  1 Ge 2.49, 1 Sc 2.76
12 Se 0.7211 0.8998 0.4507  1 Ge 2.49, 1 Sc 2.76
13 Se 0.1820 0.0337 0.9663  1 Ge 2.53
14 Se 0.6282 0.2182 0.7818  1 Ge 2.58, 2 Sc 2.74
15 Se 0.1282 0.7818 0.2182  1 Ge 2.58, 2 Sc 2.74
16 Se 0.6820 0.9663 0.0337  1 Ge 2.53
17 Se 0.2211 0.1002 0.5493  1 Ge 2.49, 1 Sc 2.76
18 Se 0.7211 0.5493 0.1002  1 Ge 2.49, 1 Sc 2.76
19 Se 0.1819 0.3731 0.3008  4 Sc 2.69-2.80
20 Se 0.6819 0.3008 0.3731  4 Sc 2.69-2.80

---

Entry 8:
This record from the Alexandria database describes a geometry-optimized CaPrOs2O8 structure. The functional is PBE.

E_form (uncorrected)   -1582 meV/atom
Density of states at the Fermi level   5.6 states/eV/f.u.
SG   P-3m1
Uncorrected energy   -7.3241 eV/atom
Magnetic moment   3.01 μB/cell

a b c (Å): 5.9870 5.9870 6.9734
angles (deg): 90.00 90.00 120.00
Closest atoms and distances in Å follow each position.
Positions (direct):
1 Ca 0.0000 0.0000 0.0000  6 O 2.48
2 Pr 0.0000 0.0000 0.5000  6 O 2.38
3 Os 0.6667 0.3333 0.1763  4 O 1.78-1.86
4 Os 0.3333 0.6667 0.8237  4 O 1.78-1.86
5 O 0.3333 0.6667 0.0784  1 Os 1.78
6 O 0.3271 0.1636 0.2602  1 Os 1.86
7 O 0.8364 0.1635 0.2602  1 Os 1.86
8 O 0.6667 0.3333 0.9216  1 Os 1.78
9 O 0.1636 0.8365 0.7398  1 Os 1.86
10 O 0.6729 0.8364 0.7398  1 Os 1.86
11 O 0.1635 0.3271 0.7398  1 Os 1.86
12 O 0.8365 0.6729 0.2602  1 Os 1.86

---

Which formula does entry 2 have? ZrAs3Au